# MnSnMoP (GGA-PBE, optimized geometry)
# **ΔH_f (0 K)**: -0.0213 eV per atom
data_MnSnMoP
_chemical_formula_sum 'Mn1 Sn1 Mo1 P1'
_space_group_name_H-M_alt 'P 1'
_space_group_IT_number 1
_space_group_name_Hall 'P 1'
_cell_length_a 4.3482
_cell_length_b 4.3482
_cell_length_c 5.4771
_cell_angle_alpha 112.07
_cell_angle_beta 112.07
_cell_angle_gamma 45.49
loop_
_atom_site_label
_atom_site_type_symbol
_atom_site_fract_x
_atom_site_fract_y
_atom_site_fract_z
Mn1 Mn 0.0000 0.0000 0.0000
Sn1 Sn 0.2068 0.2068 0.7310
Mo1 Mo 0.8033 0.8033 0.3709
P1 P 0.4848 0.4848 0.2724

=====

# TmTh2Fe9 (GGA-PBE, optimized geometry)
# **ΔH_f (0 K)**: -0.0742 eV per atom
data_TmTh2Fe9
_chemical_formula_sum 'Tm1 Th2 Fe9'
_space_group_name_H-M_alt 'P 1'
_space_group_IT_number 1
_space_group_name_Hall 'P 1'
_cell_length_a 8.7661
_cell_length_b 8.7661
_cell_length_c 8.7661
_cell_angle_alpha 33.89
_cell_angle_beta 33.89
_cell_angle_gamma 33.89
loop_
_atom_site_label
_atom_site_type_symbol
_atom_site_fract_x
_atom_site_fract_y
_atom_site_fract_z
Tm1 Tm 0.0000 0.0000 0.0000
Th1 Th 0.1402 0.1402 0.1402
Th2 Th 0.8598 0.8598 0.8598
Fe1 Fe 0.0819 0.5791 0.5791
Fe2 Fe 0.3327 0.3327 0.3327
Fe3 Fe 0.4209 0.4209 0.9181
Fe4 Fe 0.4209 0.9181 0.4209
Fe5 Fe 0.5000 0.5000 0.5000
Fe6 Fe 0.5791 0.0819 0.5791
Fe7 Fe 0.5791 0.5791 0.0819
Fe8 Fe 0.6673 0.6673 0.6673
Fe9 Fe 0.9181 0.4209 0.4209

=====

# CeInAu4 (GGA-PBE, optimized geometry)
# **ΔH_f (0 K)**: -0.3794 eV per atom
data_CeInAu4
_chemical_formula_sum 'Ce4 In4 Au16'
_space_group_name_H-M_alt 'P 1'
_space_group_IT_number 1
_space_group_name_Hall 'P 1'
_cell_length_a 8.0230
_cell_length_b 19.1214
_cell_length_c 3.4991
_cell_angle_alpha 90.00
_cell_angle_beta 90.00
_cell_angle_gamma 90.00
loop_
_atom_site_label
_atom_site_type_symbol
_atom_site_fract_x
_atom_site_fract_y
_atom_site_fract_z
Ce1 Ce 0.1254 0.1819 0.0000
Ce2 Ce 0.3746 0.6819 0.0000
Ce3 Ce 0.6254 0.3181 0.0000
Ce4 Ce 0.8746 0.8181 0.0000
In1 In 0.1308 0.4222 0.0000
In2 In 0.3692 0.9222 0.0000
In3 In 0.6308 0.0778 0.0000
In4 In 0.8692 0.5778 0.0000
Au1 Au 0.0478 0.6764 0.5000
Au2 Au 0.0519 0.9323 0.5000
Au3 Au 0.1973 0.5441 0.5000
Au4 Au 0.2056 0.8030 0.5000
Au5 Au 0.2944 0.3030 0.5000
Au6 Au 0.3027 0.0441 0.5000
Au7 Au 0.4481 0.4323 0.5000
Au8 Au 0.4522 0.1764 0.5000
Au9 Au 0.5478 0.8236 0.5000
Au10 Au 0.5519 0.5677 0.5000
Au11 Au 0.6973 0.9559 0.5000
Au12 Au 0.7056 0.6970 0.5000
Au13 Au 0.7944 0.1970 0.5000
Au14 Au 0.8027 0.4559 0.5000
Au15 Au 0.9481 0.0677 0.5000
Au16 Au 0.9522 0.3236 0.5000

=====

# LaHfZn2 (GGA-PBE, optimized geometry)
# **ΔH_f (0 K)**: 0.2437 eV per atom
data_LaHfZn2
_chemical_formula_sum 'La2 Hf2 Zn4'
_space_group_name_H-M_alt 'P 1'
_space_group_IT_number 1
_space_group_name_Hall 'P 1'
_cell_length_a 6.4090
_cell_length_b 6.4090
_cell_length_c 6.4090
_cell_angle_alpha 102.81
_cell_angle_beta 102.81
_cell_angle_gamma 123.83
loop_
_atom_site_label
_atom_site_type_symbol
_atom_site_fract_x
_atom_site_fract_y
_atom_site_fract_z
La1 La 0.0000 0.0000 0.0000
La2 La 0.7500 0.2500 0.5000
Hf1 Hf 0.2500 0.7500 0.5000
Hf2 Hf 0.5000 0.5000 0.0000
Zn1 Zn 0.1642 0.6250 0.0392
Zn2 Zn 0.3750 0.4142 0.5392
Zn3 Zn 0.5858 0.1250 0.9608
Zn4 Zn 0.8750 0.8358 0.4608

=====

# Ba4AsSI2 (GGA-PBE, optimized geometry)
# **Formation energy without anion corrections**: -1606 meV/atom
data_Ba4AsSI2
_chemical_formula_sum 'Ba4 As1 S1 I2'
_space_group_name_H-M_alt 'P 1'
_space_group_IT_number 1
_space_group_name_Hall 'P 1'
_cell_length_a 8.1974
_cell_length_b 4.7632
_cell_length_c 8.7036
_cell_angle_alpha 90.00
_cell_angle_beta 108.47
_cell_angle_gamma 90.00
loop_
_atom_site_label
_atom_site_type_symbol
_atom_site_fract_x
_atom_site_fract_y
_atom_site_fract_z
Ba1 Ba 0.2345 0.0000 0.2053
Ba2 Ba 0.2627 0.5000 0.7917
Ba3 Ba 0.7373 0.5000 0.2083
Ba4 Ba 0.7655 0.0000 0.7947
As1 As 0.5000 0.0000 0.0000
S1 S 0.0000 0.5000 0.0000
I1 I 0.0000 0.0000 0.5000
I2 I 0.5000 0.5000 0.5000

=====

# Na2LiAl3Zn12 (GGA-PBE, optimized geometry)
# **ΔH_f (0 K)**: 0.0824 eV per atom
data_Na2LiAl3Zn12
_chemical_formula_sum 'Na2 Li1 Al3 Zn12'
_space_group_name_H-M_alt 'P 1'
_space_group_IT_number 1
_space_group_name_Hall 'P 1'
_cell_length_a 6.8250
_cell_length_b 6.8250
_cell_length_c 6.8250
_cell_angle_alpha 83.73
_cell_angle_beta 83.73
_cell_angle_gamma 83.73
loop_
_atom_site_label
_atom_site_type_symbol
_atom_site_fract_x
_atom_site_fract_y
_atom_site_fract_z
Na1 Na 0.2109 0.2109 0.2109
Na2 Na 0.7891 0.7891 0.7891
Li1 Li 0.5000 0.5000 0.5000
Al1 Al 0.0000 0.5000 0.5000
Al2 Al 0.5000 0.0000 0.5000
Al3 Al 0.5000 0.5000 0.0000
Zn1 Zn 0.0858 0.0858 0.6323
Zn2 Zn 0.0858 0.6323 0.0858
Zn3 Zn 0.2203 0.6987 0.6987
Zn4 Zn 0.3013 0.3013 0.7797
Zn5 Zn 0.3013 0.7797 0.3013
Zn6 Zn 0.3677 0.9142 0.9142
Zn7 Zn 0.6323 0.0858 0.0858
Zn8 Zn 0.6987 0.2203 0.6987
Zn9 Zn 0.6987 0.6987 0.2203
Zn10 Zn 0.7797 0.3013 0.3013
Zn11 Zn 0.9142 0.3677 0.9142
Zn12 Zn 0.9142 0.9142 0.3677

=====

# CuSn3Pd (GGA-PBE, optimized geometry)
# **ΔH_f (0 K)**: -0.1429 eV per atom
data_CuSn3Pd
_chemical_formula_sum 'Cu4 Sn12 Pd4'
_space_group_name_H-M_alt 'P 1'
_space_group_IT_number 1
_space_group_name_Hall 'P 1'
_cell_length_a 8.8363
_cell_length_b 6.8062
_cell_length_c 7.4561
_cell_angle_alpha 90.00
_cell_angle_beta 103.51
_cell_angle_gamma 90.00
loop_
_atom_site_label
_atom_site_type_symbol
_atom_site_fract_x
_atom_site_fract_y
_atom_site_fract_z
Cu1 Cu 0.0450 0.1750 0.0203
Cu2 Cu 0.0450 0.3250 0.5203
Cu3 Cu 0.9550 0.6750 0.4797
Cu4 Cu 0.9550 0.8250 0.9797
Sn1 Sn 0.0824 0.5119 0.2099
Sn2 Sn 0.0824 0.9881 0.7099
Sn3 Sn 0.2932 0.6108 0.6455
Sn4 Sn 0.2932 0.8892 0.1455
Sn5 Sn 0.3600 0.1730 0.4905
Sn6 Sn 0.3600 0.3270 0.9905
Sn7 Sn 0.6400 0.6730 0.0095
Sn8 Sn 0.6400 0.8270 0.5095
Sn9 Sn 0.7068 0.1108 0.8545
Sn10 Sn 0.7068 0.3892 0.3545
Sn11 Sn 0.9176 0.0119 0.2901
Sn12 Sn 0.9176 0.4881 0.7901
Pd1 Pd 0.4042 0.5453 0.3224
Pd2 Pd 0.4042 0.9547 0.8224
Pd3 Pd 0.5958 0.0453 0.1776
Pd4 Pd 0.5958 0.4547 0.6776

=====

# V9Os4Rh11 (GGA-PBE, optimized geometry)
# **ΔH_f (0 K)**: -0.2016 eV per atom
data_V9Os4Rh11
_chemical_formula_sum 'V9 Os4 Rh11'
_space_group_name_H-M_alt 'P 1'
_space_group_IT_number 1
_space_group_name_Hall 'P 1'
_cell_length_a 11.6381
_cell_length_b 11.6381
_cell_length_c 2.7062
_cell_angle_alpha 90.00
_cell_angle_beta 90.00
_cell_angle_gamma 113.32
loop_
_atom_site_label
_atom_site_type_symbol
_atom_site_fract_x
_atom_site_fract_y
_atom_site_fract_z
V1 V 0.0000 0.0000 0.0000
V2 V 0.1010 0.6706 0.0000
V3 V 0.2947 0.4872 0.0000
V4 V 0.3294 0.8990 0.0000
V5 V 0.4872 0.2947 0.0000
V6 V 0.5128 0.7053 0.0000
V7 V 0.6706 0.1010 0.0000
V8 V 0.7053 0.5128 0.0000
V9 V 0.8990 0.3294 0.0000
Os1 Os 0.0856 0.2584 0.0000
Os2 Os 0.2584 0.0856 0.0000
Os3 Os 0.7416 0.9144 0.0000
Os4 Os 0.9144 0.7416 0.0000
Rh1 Rh 0.0992 0.4671 0.5000
Rh2 Rh 0.1217 0.8783 0.5000
Rh3 Rh 0.2955 0.2955 0.5000
Rh4 Rh 0.3070 0.6930 0.5000
Rh5 Rh 0.4671 0.0992 0.5000
Rh6 Rh 0.5000 0.5000 0.5000
Rh7 Rh 0.5329 0.9008 0.5000
Rh8 Rh 0.6930 0.3070 0.5000
Rh9 Rh 0.7045 0.7045 0.5000
Rh10 Rh 0.8783 0.1217 0.5000
Rh11 Rh 0.9008 0.5329 0.5000

=====

# HfGe3Au (GGA-PBE, optimized geometry)
# **ΔH_f (0 K)**: 0.6700 eV per atom
data_HfGe3Au
_chemical_formula_sum 'Hf1 Ge3 Au1'
_space_group_name_H-M_alt 'P 1'
_space_group_IT_number 1
_space_group_name_Hall 'P 1'
_cell_length_a 5.1627
_cell_length_b 5.1627
_cell_length_c 5.1627
_cell_angle_alpha 90.00
_cell_angle_beta 90.00
_cell_angle_gamma 90.00
loop_
_atom_site_label
_atom_site_type_symbol
_atom_site_fract_x
_atom_site_fract_y
_atom_site_fract_z
Hf1 Hf 0.0000 0.0000 0.0000
Ge1 Ge 0.0000 0.0000 0.5000
Ge2 Ge 0.0000 0.5000 0.0000
Ge3 Ge 0.5000 0.0000 0.0000
Au1 Au 0.5000 0.5000 0.5000

=====

# Ac2PrScSe6 (GGA-PBE, optimized geometry)
# **Formation energy without anion corrections**: -1908 meV/atom
data_Ac2PrScSe6
_chemical_formula_sum 'Ac4 Pr2 Sc2 Se12'
_space_group_name_H-M_alt 'P 1'
_space_group_IT_number 1
_space_group_name_Hall 'P 1'
_cell_length_a 7.1586
_cell_length_b 7.8798
_cell_length_c 12.6320
_cell_angle_alpha 90.00
_cell_angle_beta 123.32
_cell_angle_gamma 90.00
loop_
_atom_site_label
_atom_site_type_symbol
_atom_site_fract_x
_atom_site_fract_y
_atom_site_fract_z
Ac1 Ac 0.2096 0.0971 0.2466
Ac2 Ac 0.2096 0.4029 0.7466
Ac3 Ac 0.7904 0.5971 0.2534
Ac4 Ac 0.7904 0.9029 0.7534
Pr1 Pr 0.5000 0.0000 0.0000
Pr2 Pr 0.5000 0.5000 0.5000
Sc1 Sc 0.0000 0.0000 0.5000
Sc2 Sc 0.0000 0.5000 0.0000
Se1 Se 0.1021 0.1965 0.9353
Se2 Se 0.1021 0.3035 0.4353
Se3 Se 0.2469 0.6781 0.9367
Se4 Se 0.2469 0.8219 0.4367
Se5 Se 0.3670 0.0387 0.7370
Se6 Se 0.3670 0.4613 0.2370
Se7 Se 0.6330 0.5387 0.7630
Se8 Se 0.6330 0.9613 0.2630
Se9 Se 0.7531 0.1781 0.5633
Se10 Se 0.7531 0.3219 0.0633
Se11 Se 0.8979 0.6965 0.5647
Se12 Se 0.8979 0.8035 0.0647

=====

# La2PrPt3 (GGA-PBE, optimized geometry)
# **ΔH_f (0 K)**: -1.1214 eV per atom
data_La2PrPt3
_chemical_formula_sum 'La8 Pr4 Pt12'
_space_group_name_H-M_alt 'P 1'
_space_group_IT_number 1
_space_group_name_Hall 'P 1'
_cell_length_a 14.0255
_cell_length_b 13.3678
_cell_length_c 7.3712
_cell_angle_alpha 79.38
_cell_angle_beta 69.52
_cell_angle_gamma 31.10
loop_
_atom_site_label
_atom_site_type_symbol
_atom_site_fract_x
_atom_site_fract_y
_atom_site_fract_z
La1 La 0.0415 0.0415 0.2085
La2 La 0.1253 0.1253 0.6247
La3 La 0.2085 0.2085 0.0415
La4 La 0.3753 0.3753 0.8747
La5 La 0.6247 0.6247 0.1253
La6 La 0.7915 0.7915 0.9585
La7 La 0.8747 0.8747 0.3753
La8 La 0.9585 0.9585 0.7915
Pr1 Pr 0.2916 0.2916 0.4584
Pr2 Pr 0.4584 0.4584 0.2916
Pr3 Pr 0.5416 0.5416 0.7084
Pr4 Pr 0.7084 0.7084 0.5416
Pt1 Pt 0.0420 0.5414 0.2078
Pt2 Pt 0.1248 0.6252 0.6252
Pt3 Pt 0.2078 0.7088 0.0420
Pt4 Pt 0.2912 0.7922 0.4586
Pt5 Pt 0.3748 0.8752 0.8752
Pt6 Pt 0.4586 0.9580 0.2912
Pt7 Pt 0.5414 0.0420 0.7088
Pt8 Pt 0.6252 0.1248 0.1248
Pt9 Pt 0.7088 0.2078 0.5414
Pt10 Pt 0.7922 0.2912 0.9580
Pt11 Pt 0.8752 0.3748 0.3748
Pt12 Pt 0.9580 0.4586 0.7922

=====

# Tm3CdNi (GGA-PBE, optimized geometry)
# **ΔH_f (0 K)**: -0.2814 eV per atom
data_Tm3CdNi
_chemical_formula_sum 'Tm6 Cd2 Ni2'
_space_group_name_H-M_alt 'P 1'
_space_group_IT_number 1
_space_group_name_Hall 'P 1'
_cell_length_a 5.6730
_cell_length_b 5.6730
_cell_length_c 9.2503
_cell_angle_alpha 114.32
_cell_angle_beta 114.32
_cell_angle_gamma 68.98
loop_
_atom_site_label
_atom_site_type_symbol
_atom_site_fract_x
_atom_site_fract_y
_atom_site_fract_z
Tm1 Tm 0.0760 0.0760 0.2740
Tm2 Tm 0.2960 0.2960 0.0907
Tm3 Tm 0.3017 0.3017 0.7215
Tm4 Tm 0.6983 0.6983 0.2785
Tm5 Tm 0.7040 0.7040 0.9093
Tm6 Tm 0.9240 0.9240 0.7260
Cd1 Cd 0.2898 0.7102 0.5000
Cd2 Cd 0.7102 0.2898 0.5000
Ni1 Ni 0.2527 0.7473 0.0000
Ni2 Ni 0.7473 0.2527 0.0000

=====

Let's list Fermi-level density of states in order: 3.4, 10.5, 7.6, 4.6, 3.3, 7.2, 1.4, 22.4, 5.1, 0.0, 4.0, 3.9 states/eV/f.u..